VASP calculation (PBE) on an optimized crystal structure of CaTaGeO2.

Structure (CIF):
```
data_CaTaGeO2
_space_group_name_H-M_alt 'P 1'
_space_group_IT_number 1
_cell_length_a 4.035
_cell_length_b 4.035
_cell_length_c 5.328
_cell_angle_alpha 90.00
_cell_angle_beta 90.00
_cell_angle_gamma 90.00
loop_
_space_group_symop_operation_xyz
'x,y,z'
loop_
_atom_site_label
_atom_site_type_symbol
_atom_site_fract_x
_atom_site_fract_y
_atom_site_fract_z
Ca1 Ca 0.000 0.000 0.000
Ta1 Ta 0.500 0.500 0.500
Ge1 Ge 0.500 0.500 0.000
O1 O 0.000 0.500 0.500
O2 O 0.500 0.000 0.500
```

## Properties
Space group: P4/mmm, No. 123
Energy, eV/atom: -7.257